a) An optimized crystal structure of AcCuSe. Source: Alexandria via LeMat-Bulk, functional PBE-GGA.

Geometry as extended XYZ:
```
3
Lattice="4.435 0.000 0.000 -2.217 3.841 0.000 0.000 0.000 4.225" Properties=species:S:1:pos:R:3 pbc="T T T"
Ac 0.000 0.000 0.000
Cu 0.000 2.561 2.113
Se 2.218 1.280 2.113
```

Computed properties:
- Space group: No. 187
- Total magnetic moment: 0.00 μB/cell


b) An optimized crystal structure of AcCuSe. Source: Alexandria via LeMat-Bulk, functional PBE-GGA.

Geometry as extended XYZ:
```
6
Lattice="4.475 0.000 0.000 -1.831 5.569 0.000 -0.120 -1.345 6.327" Properties=species:S:1:pos:R:3 pbc="T T T"
Ac 0.000 0.000 0.000
Ac 0.148 3.128 2.869
Cu 1.836 0.237 4.482
Cu 4.048 -0.409 3.439
Se 0.295 1.931 5.870
Se 2.352 1.019 2.021
```

Computed properties:
- Space group: No. 1
- Total magnetic moment: 0.00 μB/cell


Most stable pick: b). Distance to second place: 10.1 kJ/mol of atoms.


a) An optimized crystal structure of AcCu3Si. Source: Alexandria via LeMat-Bulk, functional PBE-GGA.

Geometry as extended XYZ:
```
5
Lattice="-2.170 2.170 4.863 2.170 -2.170 4.863 2.170 2.170 -4.863" Properties=species:S:1:pos:R:3 pbc="T T T"
Ac 0.000 0.000 0.000
Cu 2.170 0.000 2.496
Cu 0.000 0.000 5.993
Cu 0.000 2.170 2.496
Si 0.000 0.000 3.555
```

Computed properties:
- Space group: No. 107
- Total magnetic moment: 0.00 μB/cell


b) An optimized crystal structure of AcCu3Si. Source: Alexandria via LeMat-Bulk, functional PBE-GGA.

Geometry as extended XYZ:
```
10
Lattice="5.590 0.000 0.000 0.000 5.889 0.000 -0.979 0.000 5.740" Properties=species:S:1:pos:R:3 pbc="T T T"
Ac 0.000 0.000 0.000
Ac 1.554 2.944 2.165
Cu 1.970 1.376 4.931
Cu 1.970 4.512 4.931
Cu 2.749 0.000 1.451
Cu 4.221 2.944 0.913
Cu 4.441 1.317 2.847
Cu 4.441 4.572 2.847
Si 0.958 0.000 3.172
Si 3.873 2.944 4.475
```

Computed properties:
- Space group: No. 6
- Total magnetic moment: 0.00 μB/cell


c) An optimized crystal structure of AcCu3Si. Source: Alexandria via LeMat-Bulk, functional PBE-GGA.

Geometry as extended XYZ:
```
5
Lattice="4.617 0.000 0.000 0.000 4.617 0.000 0.000 0.000 4.617" Properties=species:S:1:pos:R:3 pbc="T T T"
Ac 0.000 0.000 0.000
Cu 0.000 2.309 2.309
Cu 2.309 0.000 2.309
Cu 2.309 2.309 0.000
Si 2.309 2.309 2.309
```

Computed properties:
- Space group: No. 221
- Total magnetic moment: 0.00 μB/cell


Most stable pick: a). Distance to second place: 9.9 kJ/mol of atoms.


a) An optimized crystal structure of AcCuSi2. Source: Alexandria via LeMat-Bulk, functional PBE-GGA.

Geometry as extended XYZ:
```
4
Lattice="4.491 0.000 0.000 0.000 2.922 3.614 0.000 -2.922 3.614" Properties=species:S:1:pos:R:3 pbc="T T T"
Ac 0.000 0.000 0.000
Cu 2.246 0.000 3.002
Si 2.246 -1.138 5.131
Si 2.246 1.138 5.131
```

Computed properties:
- Space group: No. 38
- Total magnetic moment: 0.00 μB/cell


b) An optimized crystal structure of AcCuSi2. Source: Alexandria via LeMat-Bulk, functional PBE-GGA.

Geometry as extended XYZ:
```
4
Lattice="4.373 0.000 0.000 0.000 4.373 0.000 0.000 0.000 6.604" Properties=species:S:1:pos:R:3 pbc="T T T"
Ac 0.000 0.000 0.000
Cu 2.186 2.186 3.302
Si 2.186 2.186 1.100
Si 2.186 2.186 5.504
```

Computed properties:
- Space group: No. 123
- Total magnetic moment: 0.00 μB/cell


Most stable pick: a). Distance to second place: 43.8 kJ/mol of atoms.


a) An optimized crystal structure of Ac3Cu2Si4. Source: Alexandria via LeMat-Bulk, functional PBE-GGA.

Geometry as extended XYZ:
```
9
Lattice="5.938 -2.104 0.000 5.938 2.104 0.000 -2.984 0.000 8.225" Properties=species:S:1:pos:R:3 pbc="T T T"
Ac 0.000 0.000 0.000
Ac 3.666 0.000 2.650
Ac 5.226 0.000 5.575
Cu 1.744 0.000 5.618
Cu 7.148 0.000 2.607
Si 0.382 0.000 3.366
Si 0.451 0.000 7.717
Si 8.441 0.000 0.508
Si 8.510 0.000 4.859
```

Computed properties:
- Space group: No. 12
- Total magnetic moment: 0.00 μB/cell


b) An optimized crystal structure of Ac3Cu2Si4. Source: Alexandria via LeMat-Bulk, functional PBE-GGA.

Geometry as extended XYZ:
```
9
Lattice="5.843 -2.109 0.000 5.843 2.109 0.000 -0.954 0.000 8.524" Properties=species:S:1:pos:R:3 pbc="T T T"
Ac 0.000 0.000 0.000
Ac 3.620 0.000 2.842
Ac 7.112 0.000 5.682
Cu 3.866 0.000 6.133
Cu 6.866 0.000 2.391
Si 0.308 0.000 3.308
Si 2.393 0.000 8.014
Si 8.339 0.000 0.510
Si 10.424 0.000 5.215
```

Computed properties:
- Space group: No. 12
- Total magnetic moment: 0.00 μB/cell


Most stable pick: b). Distance to second place: 12.1 kJ/mol of atoms.


a) An optimized crystal structure of Ac2Cu5Si3. Source: Alexandria via LeMat-Bulk, functional PBE-GGA.

Geometry as extended XYZ:
```
20
Lattice="5.819 -6.069 0.000 5.819 6.069 0.000 -3.204 0.000 5.213" Properties=species:S:1:pos:R:3 pbc="T T T"
Ac 2.111 1.525 1.304
Ac 0.509 -1.525 3.910
Ac 7.926 1.525 1.303
Ac 6.324 -1.525 3.909
Cu 5.018 -6.063 1.303
Cu 3.416 6.063 3.910
Cu 3.416 3.151 3.910
Cu 5.018 3.137 1.303
Cu 1.570 1.435 4.563
Cu 3.172 -1.435 1.956
Cu 5.263 1.435 3.257
Cu 6.864 -1.435 0.651
Cu 3.416 -3.137 3.910
Cu 5.018 -3.151 1.303
Si -0.527 1.514 3.275
Si 1.075 -1.514 0.668
Si 5.018 0.003 1.303
Si 3.416 -0.003 3.910
Si 7.360 1.514 4.545
Si 8.962 -1.514 1.938
```

Computed properties:
- Space group: No. 15
- Total magnetic moment: 0.00 μB/cell


b) An optimized crystal structure of Ac2Cu5Si3. Source: Alexandria via LeMat-Bulk, functional PBE-GGA.

Geometry as extended XYZ:
```
10
Lattice="4.422 0.000 0.000 0.000 4.422 0.000 0.000 0.000 9.509" Properties=species:S:1:pos:R:3 pbc="T T T"
Ac 0.000 2.211 2.340
Ac 2.211 0.000 7.168
Cu 0.000 0.000 0.000
Cu 0.000 0.000 4.754
Cu 0.000 2.211 8.329
Cu 2.211 0.000 1.179
Cu 2.211 2.211 0.000
Si 0.000 2.211 5.937
Si 2.211 0.000 3.572
Si 2.211 2.211 4.754
```

Computed properties:
- Space group: No. 115
- Total magnetic moment: 0.00 μB/cell


Most stable pick: a). Distance to second place: 13.2 kJ/mol of atoms.


a) An optimized crystal structure of SrAcCuSi. Source: Alexandria via LeMat-Bulk, functional PBE-GGA.

Geometry as extended XYZ:
```
4
Lattice="0.000 3.811 3.811 3.811 0.000 3.811 3.811 3.811 0.000" Properties=species:S:1:pos:R:3 pbc="T T T"
Sr 0.000 0.000 0.000
Ac 3.811 3.811 3.811
Cu 5.717 5.717 5.717
Si 1.906 1.906 1.906
```

Computed properties:
- Space group: No. 216
- Total magnetic moment: 0.00 μB/cell


b) An optimized crystal structure of SrAcCuSi. Source: Alexandria via LeMat-Bulk, functional PBE-GGA.

Geometry as extended XYZ:
```
4
Lattice="2.130 1.230 8.091 -2.130 1.230 8.091 0.000 -2.460 8.091" Properties=species:S:1:pos:R:3 pbc="T T T"
Sr 0.000 0.000 0.000
Ac 0.000 0.000 20.104
Cu 0.000 0.000 14.060
Si 0.000 0.000 5.934
```

Computed properties:
- Space group: No. 160
- Total magnetic moment: 0.00 μB/cell


Most stable pick: b). Distance to second place: 7.7 kJ/mol of atoms.


a) An optimized crystal structure of AcSm2Cu. Source: Alexandria via LeMat-Bulk, functional PBE-GGA.

Geometry as extended XYZ:
```
4
Lattice="3.671 0.000 0.000 0.000 3.671 0.000 0.000 0.000 9.028" Properties=species:S:1:pos:R:3 pbc="T T T"
Ac 0.000 0.000 0.000
Sm 1.836 1.836 2.843
Sm 1.836 1.836 6.184
Cu 0.000 0.000 4.514
```

Computed properties:
- Space group: No. 123
- Total magnetic moment: 0.00 μB/cell


b) An optimized crystal structure of AcSm2Cu. Source: Alexandria via LeMat-Bulk, functional PBE-GGA.

Geometry as extended XYZ:
```
4
Lattice="1.911 1.103 10.145 -1.911 1.103 10.145 0.000 -2.206 10.145" Properties=species:S:1:pos:R:3 pbc="T T T"
Ac 0.000 0.000 0.000
Sm 0.000 0.000 7.000
Sm 0.000 0.000 23.434
Cu 0.000 0.000 15.217
```

Computed properties:
- Space group: No. 166
- Total magnetic moment: 0.00 μB/cell


Most stable pick: a). Distance to second place: 10.2 kJ/mol of atoms.


a) An optimized crystal structure of AcSm2Cu. Source: Alexandria via LeMat-Bulk, functional PBE-GGA.

Geometry as extended XYZ:
```
16
Lattice="7.171 0.000 0.000 0.000 10.448 0.000 0.000 0.000 6.628" Properties=species:S:1:pos:R:3 pbc="T T T"
Ac 0.160 2.612 0.920
Ac 3.426 7.836 4.234
Ac 3.745 2.612 2.394
Ac 7.011 7.836 5.708
Sm 1.305 0.600 4.458
Sm 1.305 4.624 4.458
Sm 2.280 5.824 1.144
Sm 2.280 9.848 1.144
Sm 4.891 0.600 5.484
Sm 4.891 4.624 5.484
Sm 5.865 5.824 2.170
Sm 5.865 9.848 2.170
Cu 0.746 7.836 2.690
Cu 2.840 2.612 6.005
Cu 4.331 7.836 0.624
Cu 6.425 2.612 3.938
```

Computed properties:
- Space group: No. 62
- Total magnetic moment: 0.00 μB/cell


b) An optimized crystal structure of AcSm2Cu. Source: Alexandria via LeMat-Bulk, functional PBE-GGA.

Geometry as extended XYZ:
```
4
Lattice="1.982 1.145 9.627 -1.982 1.145 9.627 0.000 -2.289 9.627" Properties=species:S:1:pos:R:3 pbc="T T T"
Ac 0.000 0.000 0.000
Sm 0.000 0.000 6.613
Sm 0.000 0.000 12.728
Cu 0.000 0.000 24.135
```

Computed properties:
- Space group: No. 160
- Total magnetic moment: 0.00 μB/cell


c) An optimized crystal structure of AcSm2Cu. Source: Alexandria via LeMat-Bulk, functional PBE-GGA.

Geometry as extended XYZ:
```
4
Lattice="5.644 0.000 0.000 0.000 5.644 0.000 0.000 0.000 3.777" Properties=species:S:1:pos:R:3 pbc="T T T"
Ac 0.000 0.000 0.000
Sm 0.000 2.822 1.888
Sm 2.822 0.000 1.888
Cu 2.822 2.822 0.000
```

Computed properties:
- Space group: No. 123
- Total magnetic moment: 0.00 μB/cell


Most stable pick: a). Distance to second place: 10.3 kJ/mol of atoms.


a) An optimized crystal structure of AcSmCu4. Source: Alexandria via LeMat-Bulk, functional PBE-GGA.

Geometry as extended XYZ:
```
6
Lattice="-2.031 2.031 7.750 2.031 -2.031 7.750 2.031 2.031 -7.750" Properties=species:S:1:pos:R:3 pbc="T T T"
Ac 0.000 0.000 0.000
Sm 2.031 0.000 3.875
Cu 0.000 0.000 6.438
Cu 0.000 0.000 9.062
Cu 0.000 2.031 2.662
Cu 0.000 2.031 5.088
```

Computed properties:
- Space group: No. 119
- Total magnetic moment: 0.00 μB/cell


b) An optimized crystal structure of AcSmCu4. Source: Alexandria via LeMat-Bulk, functional PBE-GGA.

Geometry as extended XYZ:
```
6
Lattice="0.000 3.862 3.862 3.862 0.000 3.862 3.862 3.862 0.000" Properties=species:S:1:pos:R:3 pbc="T T T"
Ac 0.000 0.000 0.000
Sm 5.792 5.792 5.792
Cu 2.913 2.913 2.913
Cu 4.810 4.810 2.913
Cu 4.810 2.913 4.810
Cu 2.913 4.810 4.810
```

Computed properties:
- Space group: No. 216
- Total magnetic moment: 0.00 μB/cell


Most stable pick: a). Distance to second place: 16.1 kJ/mol of atoms.


a) An optimized crystal structure of AcSmZnCu. Source: Alexandria via LeMat-Bulk, functional PBE-GGA.

Geometry as extended XYZ:
```
4
Lattice="0.000 3.740 3.740 3.740 0.000 3.740 3.740 3.740 0.000" Properties=species:S:1:pos:R:3 pbc="T T T"
Ac 0.000 0.000 0.000
Sm 3.740 3.740 3.740
Zn 1.870 1.870 1.870
Cu 5.610 5.610 5.610
```

Computed properties:
- Space group: No. 216
- Total magnetic moment: 0.00 μB/cell


b) An optimized crystal structure of AcSmZnCu. Source: Alexandria via LeMat-Bulk, functional PBE-GGA.

Geometry as extended XYZ:
```
4
Lattice="3.730 0.000 0.000 0.000 3.730 0.000 0.000 0.000 7.444" Properties=species:S:1:pos:R:3 pbc="T T T"
Ac 0.000 0.000 0.000
Sm 0.000 0.000 3.816
Zn 1.865 1.865 2.118
Cu 1.865 1.865 5.349
```

Computed properties:
- Space group: No. 99
- Total magnetic moment: 0.00 μB/cell


Most stable pick: b). Distance to second place: 2.8 kJ/mol of atoms.


a) An optimized crystal structure of Ac3CuSn2. Source: Alexandria via LeMat-Bulk, functional PBE-GGA.

Geometry as extended XYZ:
```
12
Lattice="6.862 -3.388 0.000 6.862 3.388 0.000 -2.880 0.000 8.586" Properties=species:S:1:pos:R:3 pbc="T T T"
Ac 4.703 2.138 6.440
Ac 3.349 0.846 3.088
Ac 1.909 -0.846 7.381
Ac 8.936 0.846 1.205
Ac 7.496 -0.846 5.498
Ac 6.142 -2.138 2.147
Cu 6.142 1.152 2.147
Cu 4.703 -1.152 6.440
Sn 4.892 2.384 0.064
Sn 7.392 2.384 4.229
Sn 3.452 -2.384 4.357
Sn 5.953 -2.384 8.522
```

Computed properties:
- Space group: No. 15
- Total magnetic moment: 0.00 μB/cell


b) An optimized crystal structure of Ac3CuSn2. Source: Alexandria via LeMat-Bulk, functional PBE-GGA.

Geometry as extended XYZ:
```
24
Lattice="13.123 0.000 0.000 0.000 4.736 0.000 0.000 0.000 12.973" Properties=species:S:1:pos:R:3 pbc="T T T"
Ac 0.791 1.184 1.565
Ac 1.546 3.552 7.199
Ac 2.863 1.184 10.315
Ac 3.699 3.552 3.828
Ac 5.015 1.184 0.712
Ac 5.771 3.552 8.052
Ac 7.352 1.184 4.921
Ac 8.108 3.552 12.262
Ac 9.424 1.184 9.145
Ac 10.261 3.552 2.659
Ac 11.577 1.184 5.775
Ac 12.333 3.552 11.408
Cu 1.704 1.184 4.660
Cu 4.858 3.552 11.147
Cu 8.265 1.184 1.826
Cu 11.420 3.552 8.313
Sn 0.272 3.552 4.027
Sn 2.600 3.552 12.862
Sn 3.961 1.184 6.375
Sn 6.289 1.184 10.514
Sn 6.834 3.552 2.460
Sn 9.162 3.552 6.598
Sn 10.523 1.184 0.111
Sn 12.851 1.184 8.946
```

Computed properties:
- Space group: No. 62
- Total magnetic moment: 0.00 μB/cell


Most stable pick: b). Distance to second place: 14.9 kJ/mol of atoms.